The following is a DFT calculation (PBE) of a relaxed structure of K2EuBr.

Cell lengths 4.2884, 4.2884, 37.1297 Å; angles 90.00, 90.00, 120.00 degrees
Space group R-3m (No. 166, hexagonal axes)
One atom of each set of equivalent atoms:
K 0.0000 0.0000 0.1093 x6
Eu 0.0000 0.0000 0.0000 x3
Br 0.0000 0.0000 0.5000 x3

Properties
**D(E_F)**: 3.18 states/eV/atom
**E**: -4.2047 eV per atom
**M_tot**: 1.94 μB/atom
**Energy relative to the elements, uncorrected**: -0.669 eV/atom

=====

The following is a DFT calculation (PBE) of a relaxed structure of HoEr3Zr2N6.

Cell lengths 14.667, 3.361, 6.745 Å; angles 90.00, 103.41, 90.00 degrees
Space group C2/m (No. 12)
One atom of each set of equivalent atoms:
Ho 0.000 0.000 0.000 x2
Er 0.000 0.000 0.500 x2
Er 0.167 0.500 0.833 x4
Zr 0.167 0.500 0.334 x4
N 0.005 0.500 0.254 x4
N 0.168 0.000 0.095 x4
N 0.170 0.000 0.577 x4

Properties
**D(E_F)**: 0.23 states/eV/atom
**E**: -8.8815 eV per atom
**M_tot**: 0.00 μB/atom
**Energy relative to the elements, uncorrected**: -1.772 eV/atom

=====

The following is a DFT calculation (PBE) of a relaxed structure of PmHo2Cu2.

Cell lengths 4.988, 4.635, 10.728 Å; angles 90.00, 96.65, 90.00 degrees
Space group P2_1/m (No. 11)
One atom of each set of equivalent atoms:
Pm 0.191 0.250 0.243 x2
Ho 0.249 0.750 0.496 x2
Ho 0.345 0.250 0.886 x2
Cu 0.126 0.750 0.006 x2
Cu 0.284 0.250 0.634 x2

Properties
**Excess energy over the best structure of this formula in the dataset**: 0.161 eV per formula unit
**Formation energy**: -0.117 eV per atom
**D(E_F)**: 1.08 states/eV/atom
**E**: -4.5366 eV per atom
**M_tot**: 0.00 μB/atom

=====

The following is a DFT calculation (PBE) of a relaxed structure of KRuSe2.

Cell lengths 6.779, 6.779, 6.779 Å; angles 90.00, 90.00, 90.00 degrees
Space group Fm-3m (No. 225)
One atom of each set of equivalent atoms:
K 0.000 0.000 0.000 x4
Ru 0.000 0.000 0.500 x4
Se 0.250 0.250 0.250 x8

Properties
**D(E_F)**: 0.52 states/eV/atom
**E**: -4.1880 eV per atom
**M_tot**: 0.00 μB/atom
**Energy relative to the elements, uncorrected**: 0.148 eV/atom

=====

The following is a DFT calculation (PBE) of a relaxed structure of Sr2HoBe2O6.

Cell lengths 5.5310, 5.5310, 17.2049 Å; angles 90.00, 90.00, 120.00 degrees
Space group R-3m (No. 166, hexagonal axes)
One atom of each set of equivalent atoms:
Sr 0.0000 0.0000 0.2075 x6
Ho 0.0000 0.0000 0.0000 x3
Be 0.0000 0.0000 0.4222 x6
O 0.0130 0.5065 0.2457 x18

Properties
**D(E_F)**: 0.63 states/eV/atom
**E**: -6.8050 eV per atom
**M_tot**: 0.06 μB/atom
**Energy relative to the elements, uncorrected**: -2.701 eV/atom

=====

The following is a DFT calculation (PBE) of a relaxed structure of CuNi2MoN.

Cell lengths 3.787, 3.787, 4.028 Å; angles 90.00, 90.00, 90.00 degrees
Space group P4/mmm (No. 123)
One atom of each set of equivalent atoms:
Cu 0.000 0.000 0.000 x1
Ni 0.000 0.500 0.500 x2
Mo 0.500 0.500 0.000 x1
N 0.500 0.500 0.500 x1

Properties
**D(E_F)**: 1.25 states/eV/atom
**E**: -6.9314 eV per atom
**M_tot**: 0.21 μB/atom
**Energy relative to the elements, uncorrected**: 0.032 eV/atom